(1)
Computed, not measured: a crystal of Mg3CuAs relaxed with PBEsol at the SCAN level of DFT.

energy above the most stable polymorph in this dataset = 117 meV per atom
uncorrected energy = -48.98 eV per cell
spin magnetization = 0.0 μB per formula unit
energy relative to the elements = 0.266 eV/atom
density = 2.921 g cm⁻³
D(E_F) = 2.0 states/eV/f.u.
V = 24.03 A^3/atom

Cell lengths 4.9347, 4.9347, 4.9347 Å; angles 90.00, 90.00, 90.00 degrees
Closest atoms and distances in Å follow each position.
Fractional coordinates of all 5 atoms:
Mg (0.0000, 0.0000, 0.5000)  2 As 2.47
Mg (0.0000, 0.5000, 0.0000)  2 As 2.47
Mg (0.5000, 0.0000, 0.0000)  2 As 2.47
Cu (0.5000, 0.5000, 0.5000)  12 Mg 3.49
As (0.0000, 0.0000, 0.0000)  6 Mg 2.47


(2)
Computed, not measured: a crystal of TaAsCl2 relaxed with PBEsol at the SCAN level of DFT.

energy above the most stable polymorph in this dataset = 0 meV per atom
uncorrected energy = -104.50 eV per cell
spin magnetization = 0.0 μB per formula unit
density = 6.997 g cm⁻³
V = 19.39 A^3/atom
formation energy from raw total energies = -443.2 meV per atom

Cell lengths 8.3335, 8.3335, 8.3335 Å; angles 23.00, 23.00, 23.00 degrees
Closest atoms and distances in Å follow each position.
Fractional coordinates of all 4 atoms:
Ta (0.0000, 0.0000, 0.0000)  3 Cl 2.54, 3 As 2.55
As (0.7359, 0.7359, 0.7359)  3 Ta 2.55, 3 Cl 2.75
Cl (0.2647, 0.2647, 0.2647)  3 Ta 2.54
Cl (0.4838, 0.4838, 0.4838)  3 As 2.75


(3)
Computed, not measured: a crystal of LuNi4B relaxed with PBEsol at the SCAN level of DFT.

uncorrected energy = -261.23 eV per cell
spin magnetization = 0.0 μB per formula unit
energy relative to the elements = -0.525 eV/atom
density = 10.018 g cm⁻³
D(E_F) = 1.9 states/eV/f.u.
V = 11.62 A^3/atom

Cell lengths 4.8456, 4.8456, 6.8563 Å; angles 90.00, 90.00, 120.00 degrees
Closest atoms and distances in Å follow each position.
Fractional coordinates of all 12 atoms:
Lu (0.0000, 0.0000, 0.0000)  6 B 2.80, 12 Ni 2.82
Lu (0.0000, 0.0000, 0.5000)  18 Ni 2.80-3.13
Ni (0.0000, 0.5000, 0.2103)  2 B 2.01
Ni (0.0000, 0.5000, 0.7897)  2 B 2.01
Ni (0.3333, 0.6667, 0.5000)  6 Ni 2.43
Ni (0.5000, 0.0000, 0.2103)  2 B 2.01
Ni (0.5000, 0.0000, 0.7897)  2 B 2.01
Ni (0.5000, 0.5000, 0.2103)  2 B 2.01
Ni (0.5000, 0.5000, 0.7897)  2 B 2.01
Ni (0.6667, 0.3333, 0.5000)  6 Ni 2.43
B (0.3333, 0.6667, 0.0000)  6 Ni 2.01
B (0.6667, 0.3333, 0.0000)  6 Ni 2.01


(4)
Computed, not measured: a crystal of CaYSb2Cl relaxed with PBEsol at the SCAN level of DFT.

uncorrected energy = -118.47 eV per cell
spin magnetization = 0.5 μB per formula unit
density = 3.836 g cm⁻³
D(E_F) = 1.6 states/eV/f.u.
V = 35.32 A^3/atom
formation energy from raw total energies = 306.8 meV per atom

Cell lengths 5.4207, 5.4207, 6.0093 Å; angles 90.00, 90.00, 90.00 degrees
Closest atoms and distances in Å follow each position.
Fractional coordinates of all 5 atoms:
Ca (0.0000, 0.0000, 0.0000)  4 Sb 2.71, 2 Y 3.00
Y (0.0000, 0.0000, 0.5000)  2 Ca 3.00
Sb (0.0000, 0.5000, 0.0000)  2 Ca 2.71
Sb (0.5000, 0.0000, 0.0000)  2 Ca 2.71
Cl (0.5000, 0.5000, 0.5000)  4 Y 3.83, 8 Sb 4.05


(5)
Computed, not measured: a crystal of Zn2WSe relaxed with PBEsol at the SCAN level of DFT.

uncorrected energy = -115.12 eV per cell
spin magnetization = 0.0 μB per formula unit
density = 10.270 g cm⁻³
D(E_F) = 1.5 states/eV/f.u.
V = 15.91 A^3/atom
formation energy from raw total energies = 418.3 meV per atom

Cell lengths 8.5236, 8.5236, 8.5236 Å; angles 20.04, 20.04, 20.04 degrees
Closest atoms and distances in Å follow each position.
Fractional coordinates of all 4 atoms:
Zn (0.2499, 0.2499, 0.2499)  3 Se 2.70, 3 W 2.70, 6 Zn 2.97
Zn (0.7501, 0.7501, 0.7501)  3 Se 2.70, 3 W 2.70, 6 Zn 2.97
W (0.0000, 0.0000, 0.0000)  6 Zn 2.70, 6 W 2.97
Se (0.5000, 0.5000, 0.5000)  6 Zn 2.70, 6 Se 2.97


(6)
Computed, not measured: a crystal of Sr2TlOsRh relaxed with PBEsol at the SCAN level of DFT.

uncorrected energy = -218.53 eV per cell
spin magnetization = 1.9 μB per formula unit
energy relative to the elements = 0.806 eV/atom
density = 7.189 g cm⁻³
D(E_F) = 3.7 states/eV/f.u.
V = 31.08 A^3/atom

Cell lengths 5.5124, 5.5124, 5.1142 Å; angles 90.00, 90.00, 90.00 degrees
Closest atoms and distances in Å follow each position.
Fractional coordinates of all 5 atoms:
Sr (0.0000, 0.5000, 0.0000)  2 Os 2.76
Sr (0.5000, 0.0000, 0.0000)  2 Os 2.76
Tl (0.0000, 0.0000, 0.5000)  2 Os 2.56
Os (0.0000, 0.0000, 0.0000)  2 Tl 2.56, 4 Sr 2.76
Rh (0.5000, 0.5000, 0.5000)  8 Sr 3.76, 4 Tl 3.90


(7)
Computed, not measured: a crystal of MnNiBr2 relaxed with PBEsol at the SCAN level of DFT.

energy above the most stable polymorph in this dataset = 0 meV per atom
uncorrected energy = -74.94 eV per cell
spin magnetization = 3.1 μB per formula unit
density = 5.759 g cm⁻³
D(E_F) = 0.8 states/eV/f.u.
V = 19.71 A^3/atom
formation energy from raw total energies = -398.4 meV per atom

Cell lengths 7.4974, 7.4974, 7.4974 Å; angles 27.41, 27.41, 27.41 degrees
Closest atoms and distances in Å follow each position.
Fractional coordinates of all 4 atoms:
Mn (0.0000, 0.0000, 0.0000)  3 Ni 2.43, 3 Br 2.54
Ni (0.7267, 0.7267, 0.7267)  3 Br 2.38, 3 Mn 2.43
Br (0.2637, 0.2637, 0.2637)  3 Mn 2.54
Br (0.4491, 0.4491, 0.4491)  3 Ni 2.38


(8)
Computed, not measured: a crystal of Li2CdIn relaxed with PBEsol at the SCAN level of DFT.

uncorrected energy = -69.60 eV per cell
spin magnetization = 0.0 μB per formula unit
energy relative to the elements = -0.255 eV/atom
density = 5.208 g cm⁻³
D(E_F) = 1.3 states/eV/f.u.
V = 19.22 A^3/atom

Cell lengths 3.0417, 4.2901, 5.8915 Å; angles 90.00, 90.00, 90.00 degrees
Closest atoms and distances in Å follow each position.
Fractional coordinates of all 4 atoms:
Li (0.0000, 0.0000, 0.0000)  2 Cd 2.86-3.03, 4 In 2.95, 6 Li 3.04-3.06
Li (0.5000, 0.5000, 0.2665)  2 In 2.91-2.98, 4 Cd 2.93, 6 Li 3.04-3.06
Cd (0.0000, 0.0000, 0.4850)  6 Li 2.86-3.03, 2 Cd 3.04, 4 In 3.13
In (0.5000, 0.5000, 0.7729)  6 Li 2.91-2.98, 2 In 3.04, 4 Cd 3.13


(9)
Computed, not measured: a crystal of SrInPt2 relaxed with PBEsol at the SCAN level of DFT.

uncorrected energy = -199.20 eV per cell
spin magnetization = 0.0 μB per formula unit
energy relative to the elements = -0.787 eV/atom
density = 10.536 g cm⁻³
D(E_F) = 1.4 states/eV/f.u.
V = 23.35 A^3/atom

Cell lengths 5.7571, 5.7571, 5.7571 Å; angles 47.03, 47.03, 47.03 degrees
Closest atoms and distances in Å follow each position.
Fractional coordinates of all 4 atoms:
Sr (0.0000, 0.0000, 0.0000)  8 Pt 3.04-3.36
In (0.5000, 0.5000, 0.5000)  6 Pt 2.70
Pt (0.1984, 0.1984, 0.1984)  3 In 2.70, 3 Pt 2.82
Pt (0.8016, 0.8016, 0.8016)  3 In 2.70, 3 Pt 2.82


(10)
Computed, not measured: a crystal of HfFeTe2N relaxed with PBEsol at the SCAN level of DFT.

uncorrected energy = -163.17 eV per cell
spin magnetization = 2.3 μB per formula unit
density = 9.706 g cm⁻³
D(E_F) = 2.6 states/eV/f.u.
V = 17.23 A^3/atom
formation energy from raw total energies = 284.9 meV per atom

Cell lengths 4.8857, 4.8857, 3.6090 Å; angles 90.00, 90.00, 90.00 degrees
Closest atoms and distances in Å follow each position.
Fractional coordinates of all 5 atoms:
Hf (0.0000, 0.0000, 0.0000)  8 Te 3.04
Fe (0.5000, 0.5000, 0.0000)  2 N 1.80
Te (0.0000, 0.5000, 0.5000)  2 N 2.44
Te (0.5000, 0.0000, 0.5000)  2 N 2.44
N (0.5000, 0.5000, 0.5000)  2 Fe 1.80


(11)
Computed, not measured: a crystal of ReMo2 relaxed with PBEsol at the SCAN level of DFT.

energy above the most stable polymorph in this dataset = 18 meV per atom
uncorrected energy = -281.56 eV per cell
spin magnetization = 0.0 μB per formula unit
energy relative to the elements = 0.030 eV/atom
density = 13.900 g cm⁻³
D(E_F) = 2.5 states/eV/f.u.
V = 15.06 A^3/atom

Cell lengths 5.1618, 5.1618, 6.2252 Å; angles 107.59, 107.59, 35.04 degrees
Closest atoms and distances in Å follow each position.
Fractional coordinates of all 6 atoms:
Re (0.1649, 0.1649, 0.0846)  6 Mo 2.68-2.71, 2 Re 2.73
Re (0.8351, 0.8351, 0.9154)  6 Mo 2.68-2.71, 2 Re 2.73
Mo (0.1680, 0.1680, 0.5825)  6 Mo 2.67-2.71, 2 Re 2.69
Mo (0.4964, 0.4964, 0.2504)  4 Mo 2.68-2.71, 4 Re 2.68-2.71
Mo (0.5036, 0.5036, 0.7496)  4 Mo 2.68-2.71, 4 Re 2.68-2.71
Mo (0.8320, 0.8320, 0.4175)  6 Mo 2.67-2.71, 2 Re 2.69


(12)
Computed, not measured: a crystal of YTlPt relaxed with PBEsol at the SCAN level of DFT.

uncorrected energy = -172.92 eV per cell
spin magnetization = 0.0 μB per formula unit
energy relative to the elements = -0.843 eV/atom
density = 12.515 g cm⁻³
D(E_F) = 1.4 states/eV/f.u.
V = 21.60 A^3/atom

Cell lengths 4.6915, 4.6915, 3.3996 Å; angles 90.00, 90.00, 120.00 degrees
Closest atoms and distances in Å follow each position.
Fractional coordinates of all 3 atoms:
Y (0.0000, 0.0000, 0.0000)  6 Tl 3.20, 6 Pt 3.20, 2 Y 3.40
Tl (0.6667, 0.3333, 0.5000)  3 Pt 2.71
Pt (0.3333, 0.6667, 0.5000)  3 Tl 2.71